[1]
Density functional theory data (GGA-PBE) for a relaxed CsSn2GeI8 crystal.

Results
- uncorrected formation energy (eV per atom) = -0.5252
- N(E_F) (states/eV per atom) = 0.46
- calculated total energy (eV/f.u.) = -32.2

The structure in POSCAR format:
```
CsSn2GeI8
1.0
7.5984 0.0000 0.0000
2.0473 7.7762 0.0000
2.0706 2.4220 10.1442
Cs Sn Ge I
1 2 1 8
Cartesian
0.0000 0.0000 0.0000 Cs
4.7647 3.9938 2.4055 Sn
6.9516 6.2044 7.7387 Sn
1.0353 1.2110 5.0721 Ge
4.2227 7.3838 7.3858 I
4.0852 6.9483 3.2273 I
3.5238 2.8556 4.8423 I
3.6633 2.1392 0.3686 I
8.0530 8.0591 9.7756 I
8.1925 7.3427 5.3020 I
7.6311 3.2499 6.9169 I
7.4937 2.8145 2.7584 I
```


[2]
Density functional theory data (GGA-PBE) for a relaxed Ce2RhO crystal.

Results
- uncorrected formation energy (eV per atom) = -1.5882
- N(E_F) (states/eV per atom) = 1.71
- calculated total energy (eV/f.u.) = -30.5

The structure in POSCAR format:
```
Ce2RhO
1.0
1.8353 1.0596 6.6784
-1.8353 1.0596 6.6784
0.0000 -2.1192 6.6784
Ce Rh O
2 1 1
Cartesian
0.0000 0.0000 4.7744 Ce
0.0000 0.0000 15.2607 Ce
0.0000 0.0000 0.0000 Rh
0.0000 0.0000 10.0175 O
```


[3]
Density functional theory data (GGA-PBE) for a relaxed ThSbTe crystal.

Results
- uncorrected formation energy (eV per atom) = -0.8336
- N(E_F) (states/eV per atom) = 0.86
- calculated total energy (eV/f.u.) = -17.2

The structure in POSCAR format:
```
ThSbTe
1.0
-2.0585 2.0585 5.1056
2.0585 -2.0585 5.1056
2.0585 2.0585 -5.1056
Th Sb Te
1 1 1
Cartesian
0.0000 0.0000 0.0000 Th
0.0000 0.0000 6.7128 Sb
0.0000 0.0000 3.4962 Te
```


[4]
Density functional theory data (GGA-PBE) for a relaxed ZnReF2 crystal.

Results
- uncorrected formation energy (eV per atom) = -1.0329
- N(E_F) (states/eV per atom) = 0.42
- calculated total energy (eV/f.u.) = -21.6

The structure in POSCAR format:
```
ZnReF2
1.0
1.3290 0.7673 8.1642
-1.3290 0.7673 8.1642
0.0000 -1.5346 8.1642
Zn Re F
1 1 2
Cartesian
0.0000 0.0000 0.0000 Zn
0.0000 0.0000 12.2463 Re
0.0000 0.0000 10.2948 F
0.0000 0.0000 14.1978 F
```


> Among the records above, which one has the lowest uncorrected formation energy?

Ce2RhO